Computed, not measured: a geometry-optimized Sm5Ni2Os structure at the PBE level of DFT.

Lattice parameters (Å, degrees): 7.1826 7.1826 9.0252 113.45 113.45 90.00
Fractional positions:
Sm1 0.5301 0.6762 0.7063
Sm2 0.8238 0.9699 0.2937
Sm3 0.0000 0.0000 0.0000
Sm4 0.5000 0.5000 0.0000
Sm5 0.1762 0.0301 0.7063
Sm6 0.6762 0.1762 0.7063
Sm7 0.0301 0.5301 0.7063
Sm8 0.3238 0.8238 0.2937
Sm9 0.9699 0.4699 0.2937
Sm10 0.4699 0.3238 0.2937
Ni1 0.1165 0.3835 0.0000
Ni2 0.6165 0.1165 0.0000
Ni3 0.3835 0.8835 0.0000
Ni4 0.8835 0.6165 0.0000
Os1 0.7500 0.7500 0.5000
Os2 0.2500 0.2500 0.5000

Computed properties:
calculated total energy = -6.0198 eV per atom
formation energy from the elements = -21.3 kJ/mol of atoms
magnetization = 0.000 μB per cell
theoretical density = 9.1 g/cm3